Here is a geometry-optimized Nd3Pt8Pb structure from Alexandria. Energies are from PBE.

Cell and atoms, written as CIF:
```
data_Nd3Pt8Pb
_symmetry_space_group_name_H-M 'P 1'
_symmetry_Int_Tables_number 1
_cell_length_a 9.530
_cell_length_b 9.530
_cell_length_c 9.530
_cell_angle_alpha 33.68
_cell_angle_beta 33.68
_cell_angle_gamma 33.68
loop_
_symmetry_equiv_pos_as_xyz
'x,y,z'
loop_
_atom_site_label
_atom_site_fract_x
_atom_site_fract_y
_atom_site_fract_z
_atom_site_occupancy
Nd1 0.000 0.000 0.000 1
Nd2 0.129 0.129 0.129 1
Nd3 0.616 0.616 0.616 1
Pt1 0.055 0.561 0.561 1
Pt2 0.061 0.061 0.565 1
Pt3 0.061 0.565 0.061 1
Pt4 0.311 0.311 0.311 1
Pt5 0.561 0.055 0.561 1
Pt6 0.561 0.561 0.055 1
Pt7 0.565 0.061 0.061 1
Pt8 0.812 0.812 0.812 1
Pb1 0.490 0.490 0.490 1
```

Values from the calculation:
Calculated volume (Å³/cell): 237.14
ΔH_f (0 K) (eV/atom): -0.8996
Space-group type: R3m (160)

Here is a geometry-optimized Nb7Ga5Sn structure from Alexandria. Energies are from PBE.

Cell and atoms, written as CIF:
```
data_Nb7Ga5Sn
_symmetry_space_group_name_H-M 'P 1'
_symmetry_Int_Tables_number 1
_cell_length_a 7.156
_cell_length_b 7.156
_cell_length_c 7.156
_cell_angle_alpha 136.79
_cell_angle_beta 98.83
_cell_angle_gamma 96.75
loop_
_symmetry_equiv_pos_as_xyz
'x,y,z'
loop_
_atom_site_label
_atom_site_fract_x
_atom_site_fract_y
_atom_site_fract_z
_atom_site_occupancy
Nb1 0.000 0.000 0.000 1
Nb2 0.260 0.260 0.000 1
Nb3 0.291 0.633 0.658 1
Nb4 0.457 0.134 0.323 1
Nb5 0.810 0.134 0.677 1
Nb6 0.875 0.375 0.500 1
Nb7 0.975 0.633 0.342 1
Ga1 0.139 0.137 0.505 1
Ga2 0.139 0.634 0.002 1
Ga3 0.391 0.891 0.500 1
Ga4 0.632 0.137 0.998 1
Ga5 0.632 0.634 0.495 1
Sn1 0.672 0.672 0.000 1
```

Values from the calculation:
Calculated volume (Å³/cell): 233.16
ΔH_f (0 K) (eV/atom): -0.1439
Space-group type: Imm2 (44)

Here is a geometry-optimized Rb3RuRh3O8 structure from Alexandria. Energies are from PBE.

Cell and atoms, written as CIF:
```
data_Rb3RuRh3O8
_symmetry_space_group_name_H-M 'P 1'
_symmetry_Int_Tables_number 1
_cell_length_a 7.239
_cell_length_b 7.239
_cell_length_c 7.239
_cell_angle_alpha 52.69
_cell_angle_beta 52.69
_cell_angle_gamma 52.69
loop_
_symmetry_equiv_pos_as_xyz
'x,y,z'
loop_
_atom_site_label
_atom_site_fract_x
_atom_site_fract_y
_atom_site_fract_z
_atom_site_occupancy
Rb1 0.000 0.500 0.500 1
Rb2 0.500 0.000 0.500 1
Rb3 0.500 0.500 0.000 1
Ru1 0.500 0.500 0.500 1
Rh1 0.000 0.000 0.500 1
Rh2 0.000 0.500 0.000 1
Rh3 0.500 0.000 0.000 1
O1 0.219 0.219 0.219 1
O2 0.223 0.715 0.715 1
O3 0.285 0.285 0.777 1
O4 0.285 0.777 0.285 1
O5 0.715 0.223 0.715 1
O6 0.715 0.715 0.223 1
O7 0.777 0.285 0.285 1
O8 0.781 0.781 0.781 1
```

Values from the calculation:
Formation energy without anion corrections (eV per atom): -0.974
Calculated volume (Å³/cell): 222.20
Space-group type: R-3m (166)

Here is a geometry-optimized AlReTcN2 structure from Alexandria. Energies are from PBE.

Cell and atoms, written as CIF:
```
data_AlReTcN2
_symmetry_space_group_name_H-M 'P 1'
_symmetry_Int_Tables_number 1
_cell_length_a 3.782
_cell_length_b 3.782
_cell_length_c 5.315
_cell_angle_alpha 90.00
_cell_angle_beta 90.00
_cell_angle_gamma 90.00
loop_
_symmetry_equiv_pos_as_xyz
'x,y,z'
loop_
_atom_site_label
_atom_site_fract_x
_atom_site_fract_y
_atom_site_fract_z
_atom_site_occupancy
Al1 0.000 0.000 0.000 1
Re1 0.500 0.500 0.000 1
Tc1 0.500 0.500 0.500 1
N1 0.000 0.500 0.500 1
N2 0.500 0.000 0.500 1
```

Values from the calculation:
Formation energy without anion corrections (eV per atom): 1.098
Calculated volume (Å³/cell): 76.03
Space-group type: P4/mmm (123)